# MgInNiF6

Crystalline MgInNiF6 at its relaxed geometry (GGA+U, Alexandria).

Lattice parameters (Å, degrees): 5.4603 5.4603 8.9250 90.00 90.00 120.00
Fractional positions:
Mg  0.3333  0.6667  0.2500
Mg  0.6667  0.3333  0.7500
In  0.3333  0.6667  0.7500
In  0.6667  0.3333  0.2500
Ni  0.0000  0.0000  0.0000
Ni  0.0000  0.0000  0.5000
F  0.0413  0.3401  0.1241
F  0.0413  0.7012  0.3759
F  0.2988  0.3401  0.3759
F  0.2988  0.9587  0.1241
F  0.3401  0.0413  0.6241
F  0.3401  0.2988  0.8759
F  0.6599  0.7012  0.1241
F  0.6599  0.9587  0.3759
F  0.7012  0.0413  0.8759
F  0.7012  0.6599  0.6241
F  0.9587  0.2988  0.6241
F  0.9587  0.6599  0.8759

- VASP energy: -4.509 eV/atom
- Space group: P-31c